Record 1
First-principles (GGA-PBE) data for crystalline InSi2P at its relaxed geometry, as listed in Alexandria.

Energy relative to the elements, uncorrected (eV/atom): 0.19
Energy (eV per atom): -4.562
SG: R3m (160)

abc: 7.0436 7.0436 7.0436
angles: 29.44 29.44 29.44
With the nearest neighbours (Å) after each atom.
Atoms (fractional coordinates):
In 0.4995 0.4995 0.4995  3 Si 2.86, 3 P 2.89
Si 0.0038 0.0038 0.0038  3 P 2.42, 3 Si 2.54
Si 0.2639 0.2639 0.2639  3 Si 2.54
P 0.7328 0.7328 0.7328  3 Si 2.42


Record 2
First-principles (GGA-PBE) data for crystalline EuYPtAu at its relaxed geometry, as listed in Alexandria.

Energy (eV per atom): -7.411
SG: F-43m (216)

abc: 5.0904 5.0904 5.0904
angles: 60.00 60.00 60.00
With the nearest neighbours (Å) after each atom.
Atoms (fractional coordinates):
Eu 0.5000 0.5000 0.5000  4 Pt 3.12, 4 Au 3.12
Au 0.2500 0.2500 0.2500  4 Eu 3.12, 4 Y 3.12
Pt 0.7500 0.7500 0.7500  4 Y 3.12, 4 Eu 3.12
Y 0.0000 0.0000 0.0000  4 Au 3.12, 4 Pt 3.12


Record 3
First-principles (GGA-PBE) data for crystalline CaPmC at its relaxed geometry, as listed in Alexandria.

Energy (eV per atom): -5.186
SG: P4/mmm (123)

abc: 7.4735 7.4735 5.1697
angles: 90.00 90.00 90.00
With the nearest neighbours (Å) after each atom.
Atoms (fractional coordinates):
Pm 0.0000 0.2500 0.5002  4 C 2.64
Pm 0.5000 0.2500 0.4998  4 C 2.64
Pm 0.0000 0.7500 0.4998  4 C 2.64
Pm 0.5000 0.7500 0.5002  4 C 2.64
Ca 0.2501 0.0000 0.9999  2 C 2.58
Ca 0.2499 0.5000 0.9999  2 C 2.58
Ca 0.7501 0.5000 0.0001  2 C 2.58
Ca 0.7499 0.0000 0.0001  2 C 2.58
C 0.7501 0.5000 0.5001  2 Ca 2.58, 4 Pm 2.64
C 0.2501 0.0000 0.4999  2 Ca 2.58, 4 Pm 2.64
C 0.2499 0.5000 0.4999  2 Ca 2.58, 4 Pm 2.64
C 0.7499 0.0000 0.5001  2 Ca 2.58, 4 Pm 2.64